# 1
# Be2SbTe

A geometry-optimized Be2SbTe structure (GGA-PBE, Alexandria).

Geometry as POSCAR:
```
Be2SbTe
1.0
0.000 3.335 3.335
3.335 0.000 3.335
3.335 3.335 0.000
Sb Te Be
1 1 2
direct
0.000 0.000 0.000
0.500 0.500 0.500
0.250 0.250 0.250
0.750 0.750 0.750
```

magnetic moment: 0.000 μB/atom
density of states at the Fermi level: 0.44 states/eV/atom
energy: -11.701 eV per formula unit
formation energy from raw total energies: 0.7538 eV/atom
relative energy among the computed polymorphs: 0.732 eV per atom

# 2
# Sm4Ag2Sn

A geometry-optimized Sm4Ag2Sn structure (GGA-PBE, Alexandria).

Geometry as POSCAR:
```
Sm4Ag2Sn
1.0
-3.124 -3.966 1.438
1.740 -4.945 -0.279
2.413 -2.400 8.204
Ag Sm Sn
2 4 1
direct
0.744 0.744 0.768
0.256 0.256 0.232
0.869 0.869 0.392
0.131 0.131 0.608
0.615 0.615 0.154
0.385 0.385 0.846
0.000 0.000 0.000
```

magnetic moment: 0.188 μB/atom
density of states at the Fermi level: 1.19 states/eV/atom
ΔH_f (0 K): -264 meV per atom
energy: -30.426 eV per formula unit
relative energy among the computed polymorphs: 0.048 eV per atom